Entry 1:
DFT (PBE) results for crystalline Pr2Sm3Cd4 at its relaxed geometry.

Structure (POSCAR):
```
Pr2Sm3Cd4
1.0
3.451 -9.455 0.000
3.451 9.455 0.000
0.000 0.000 8.364
Pr Sm Cd
4 6 8
Direct
0.091 0.909 0.902
0.409 0.591 0.402
0.591 0.409 0.598
0.909 0.091 0.098
0.000 0.000 0.500
0.002 0.498 0.750
0.498 0.002 0.250
0.500 0.500 0.000
0.502 0.998 0.750
0.998 0.502 0.250
0.161 0.839 0.511
0.174 0.326 0.750
0.326 0.174 0.250
0.339 0.661 0.011
0.661 0.339 0.989
0.674 0.826 0.750
0.826 0.674 0.250
0.839 0.161 0.489
```

Results
Its density of states at the Fermi level is 1.152 states/eV/atom. Its formation energy is -0.159 eV per atom. The crystal system is orthorhombic.

Entry 2:
DFT (PBE) results for crystalline Al13Cu3S24 at its relaxed geometry.

Structure (POSCAR):
```
Al13Cu3S24
1.0
6.082 -3.540 0.000
6.082 3.540 0.000
-0.144 0.000 17.136
Al Cu S
13 3 24
Direct
0.000 0.000 0.000
0.003 0.003 0.394
0.003 0.506 0.503
0.174 0.661 0.179
0.175 0.175 0.180
0.333 0.333 0.716
0.341 0.845 0.842
0.506 0.003 0.503
0.507 0.507 0.503
0.661 0.174 0.179
0.665 0.665 0.048
0.679 0.679 0.672
0.845 0.341 0.842
0.007 0.007 0.634
0.345 0.345 0.964
0.671 0.671 0.294
0.003 0.003 0.253
0.020 0.020 0.763
0.022 0.495 0.256
0.165 0.165 0.924
0.172 0.691 0.919
0.182 0.182 0.425
0.183 0.648 0.424
0.310 0.849 0.094
0.336 0.336 0.099
0.339 0.339 0.581
0.362 0.828 0.587
0.495 0.022 0.256
0.495 0.495 0.255
0.518 0.518 0.758
0.523 0.987 0.760
0.648 0.183 0.424
0.671 0.671 0.428
0.675 0.675 0.918
0.691 0.172 0.919
0.828 0.362 0.587
0.832 0.832 0.584
0.846 0.846 0.093
0.849 0.310 0.094
0.987 0.523 0.760
```

Results
Its density of states at the Fermi level is 0.398 states/eV/atom. The uncorrected formation energy is -799 meV/atom. The crystal system is monoclinic.

Entry 3:
DFT (PBE) results for crystalline SrLi2I at its relaxed geometry.

Structure (POSCAR):
```
SrLi2I
1.0
-4.527 4.527 3.354
4.527 -4.527 3.354
4.527 4.527 -3.354
Sr Li I
2 4 2
Direct
0.000 0.000 0.000
0.750 0.250 0.500
0.190 0.125 0.565
0.375 0.810 0.935
0.560 0.625 0.435
0.875 0.440 0.065
0.250 0.750 0.500
0.500 0.500 0.000
```

Results
Its density of states at the Fermi level is 0.697 states/eV/atom. The uncorrected formation energy is -383 meV/atom. The excess energy over the best structure of this formula in the dataset comes out at 0.000 eV/atom. The crystal system is tetragonal.

Entry 4:
DFT (PBE) results for crystalline LiGePb2 at its relaxed geometry.

Structure (POSCAR):
```
LiGePb2
1.0
-4.237 4.237 3.077
4.237 -4.237 3.077
4.237 4.237 -3.077
Li Ge Pb
2 2 4
Direct
0.000 0.000 0.000
0.750 0.250 0.500
0.250 0.750 0.500
0.500 0.500 0.000
0.170 0.625 0.045
0.375 0.420 0.545
0.580 0.125 0.955
0.875 0.830 0.455
```

Results
Its density of states at the Fermi level is 0.420 states/eV/atom. Its formation energy is 0.065 eV per atom. The crystal system is tetragonal.

Entry 5:
DFT (PBE) results for crystalline YMoRh at its relaxed geometry.

Structure (POSCAR):
```
YMoRh
1.0
0.000 3.191 3.191
3.191 0.000 3.191
3.191 3.191 0.000
Y Mo Rh
1 1 1
Direct
0.000 0.000 0.000
0.500 0.500 0.500
0.250 0.250 0.250
```

Results
Its density of states at the Fermi level is 0.899 states/eV/atom. Its formation energy is 0.260 eV per atom. The excess energy over the best structure of this formula in the dataset comes out at 0.315 eV/atom. The crystal system is cubic.

Entry 6:
DFT (PBE) results for crystalline SrBiPt2Cl at its relaxed geometry.

Structure (POSCAR):
```
SrBiPt2Cl
1.0
5.047 0.000 0.000
0.000 5.047 0.000
0.000 0.000 6.865
Sr Bi Pt Cl
1 1 2 1
Direct
0.000 0.000 0.000
0.000 0.000 0.500
0.000 0.500 0.500
0.500 0.000 0.500
0.500 0.500 0.000
```

Results
Its density of states at the Fermi level is 0.873 states/eV/atom. The uncorrected formation energy is 16 meV/atom. The crystal system is tetragonal.